1.
Sm4TePtS2: relaxed, PBE.

Computed properties:
Total DFT energy (no corrections) (eV/cell): -49.04
Uncorrected formation energy (eV/atom): -1.591

Unit cell a=4.083 b=7.302 c=7.278 alpha=71.24 beta=90.00 gamma=90.00
Fractional coordinates of all 8 atoms:
Sm  0.000  0.756  0.764
Sm  0.000  0.244  0.236
Sm  0.500  0.777  0.229
Sm  0.500  0.223  0.771
Te  0.000  0.500  0.500
Pt  0.500  0.500  0.000
S  0.000  0.000  0.000
S  0.500  0.000  0.500

---

2.
La3Zn2Hg2: relaxed, PBE.

Computed properties:
Total DFT energy (no corrections) (eV/cell): -20.31
ΔE_f (eV per atom): -0.34

Unit cell a=5.156 b=5.158 c=10.048 alpha=104.84 beta=104.89 gamma=120.02
Fractional coordinates of all 7 atoms:
La  0.000  0.000  0.000
La  0.302  0.969  0.636
La  0.698  0.031  0.364
Zn  0.354  0.353  0.353
Zn  0.646  0.647  0.647
Hg  0.872  0.539  0.206
Hg  0.128  0.461  0.794

---

3.
FeCu5Pt4: relaxed, PBE.

Computed properties:
Total DFT energy (no corrections) (eV/cell): -52.71
ΔE_f (eV per atom): 0.04

Unit cell a=4.127 b=6.021 c=7.052 alpha=114.83 beta=107.01 gamma=90.00
Each line ends with the local moment (μB).
Fractional coordinates of all 10 atoms:
Fe  0.500  0.000  0.000  3.20
Cu  0.828  0.285  0.655  0.02
Cu  0.820  0.870  0.640  0.01
Cu  0.180  0.130  0.360  0.01
Cu  0.500  0.500  0.000  0.03
Cu  0.172  0.715  0.345  0.02
Pt  0.328  0.584  0.655  0.15
Pt  0.988  0.743  0.977  0.17
Pt  0.672  0.416  0.345  0.15
Pt  0.012  0.257  0.023  0.17

---

4.
YZrIn: relaxed, PBE.

Computed properties:
Total DFT energy (no corrections) (eV/cell): -36.42
ΔE_f (eV per atom): -0.15
Polymorph energy (0 for the lowest one) (meV per atom): 78

Unit cell a=3.375 b=3.375 c=14.194 alpha=96.83 beta=96.83 gamma=90.00
Each line ends with the local moment (μB).
Fractional coordinates of all 6 atoms:
Zr  0.287  0.287  0.574  -0.03
Zr  0.713  0.713  0.426  -0.03
In  0.138  0.138  0.277  0.00
In  0.862  0.862  0.723  0.00
Y  0.563  0.563  0.126  0.13
Y  0.437  0.437  0.874  0.13

---

5.
SrBeCo2: relaxed, PBE.

Computed properties:
Total DFT energy (no corrections) (eV/cell): -16.35
ΔE_f (eV per atom): 0.82

Unit cell a=4.525 b=4.525 c=4.525 alpha=60.00 beta=60.00 gamma=60.00
Each line ends with the local moment (μB).
Fractional coordinates of all 4 atoms:
Sr  0.250  0.250  0.250  -0.05
Co  0.000  0.000  0.000  1.67
Co  0.750  0.750  0.750  1.59
Be  0.500  0.500  0.500  -0.04

---

6.
SiTcAs2: relaxed, PBE.

Computed properties:
Total DFT energy (no corrections) (eV/cell): -23.73
Uncorrected formation energy (eV/atom): 0.340

Unit cell a=4.959 b=4.959 c=4.959 alpha=140.81 beta=122.59 gamma=71.72
Fractional coordinates of all 4 atoms:
As  0.993  0.993  0.000
As  0.740  0.240  0.500
Si  0.503  0.503  0.000
Tc  0.264  0.764  0.500

---

7.
ErTaOs4: relaxed, PBE.

Computed properties:
Total DFT energy (no corrections) (eV/cell): -61.95
ΔE_f (eV per atom): -0.10

Unit cell a=5.239 b=5.239 c=5.239 alpha=60.00 beta=60.00 gamma=60.00
Fractional coordinates of all 6 atoms:
Er  0.000  0.000  0.000
Os  0.625  0.625  0.124
Os  0.625  0.124  0.625
Os  0.625  0.625  0.625
Os  0.124  0.625  0.625
Ta  0.250  0.250  0.250

---

8.
Tl5Hg4: relaxed, PBE.

Computed properties:
Total DFT energy (no corrections) (eV/cell): -12.99
ΔE_f (eV per atom): 0.01
Polymorph energy (0 for the lowest one) (meV per atom): 12

Unit cell a=5.656 b=7.418 c=7.418 alpha=81.64 beta=67.59 gamma=67.59
Fractional coordinates of all 9 atoms:
Tl  0.500  0.000  0.000
Tl  0.157  0.657  0.028
Tl  0.185  0.972  0.657
Tl  0.815  0.028  0.343
Tl  0.843  0.343  0.972
Hg  0.161  0.325  0.353
Hg  0.514  0.647  0.325
Hg  0.486  0.353  0.675
Hg  0.839  0.675  0.647

---

9.
BeCoPRh: relaxed, PBE.

Computed properties:
Total DFT energy (no corrections) (eV/cell): -25.18
ΔE_f (eV per atom): -0.40

Unit cell a=3.946 b=3.946 c=3.946 alpha=60.00 beta=60.00 gamma=60.00
Each line ends with the local moment (μB).
Fractional coordinates of all 4 atoms:
Co  0.250  0.250  0.250  0.78
Rh  0.750  0.750  0.750  0.29
Be  0.000  0.000  0.000  0.00
P  0.500  0.500  0.500  0.04

---

10.
YCu2Sb2: relaxed, PBE.

Computed properties:
Total DFT energy (no corrections) (eV/cell): -48.89
Uncorrected formation energy (eV/atom): -0.308

Unit cell a=7.127 b=7.127 c=6.838 alpha=119.64 beta=119.64 gamma=97.42
Fractional coordinates of all 10 atoms:
Y  0.107  0.893  0.250
Y  0.893  0.107  0.750
Cu  0.748  0.555  0.548
Cu  0.445  0.252  0.952
Cu  0.555  0.748  0.048
Cu  0.252  0.445  0.452
Sb  0.390  0.610  0.250
Sb  0.812  0.188  0.250
Sb  0.188  0.812  0.750
Sb  0.610  0.390  0.750

---

11.
KAu2Cl7: relaxed, PBE.

Computed properties:
Total DFT energy (no corrections) (eV/cell): -25.34
Uncorrected formation energy (eV/atom): -0.477

Unit cell a=4.490 b=9.921 c=9.921 alpha=134.31 beta=90.00 gamma=90.00
Fractional coordinates of all 10 atoms:
K  0.000  0.000  0.000
Au  0.500  0.639  0.361
Au  0.500  0.361  0.639
Cl  0.000  0.695  0.305
Cl  0.000  0.305  0.695
Cl  0.500  0.062  0.333
Cl  0.500  0.938  0.667
Cl  0.500  0.333  0.062
Cl  0.500  0.667  0.938
Cl  0.500  0.500  0.500

---

12.
Ce5Tm3Se8: relaxed, PBE.

Computed properties:
Total DFT energy (no corrections) (eV/cell): -99.28
Uncorrected formation energy (eV/atom): -1.770

Unit cell a=8.226 b=8.226 c=8.302 alpha=60.30 beta=60.30 gamma=60.00
Each line ends with the local moment (μB).
Fractional coordinates of all 16 atoms:
Ce  0.500  0.000  0.000  0.82
Ce  0.500  0.500  0.000  0.82
Ce  0.000  0.000  0.000  0.64
Ce  0.000  0.500  0.000  0.82
Ce  0.500  0.500  0.500  0.60
Tm  0.500  0.000  0.500  -0.01
Tm  0.000  0.000  0.500  -0.01
Tm  0.000  0.500  0.500  -0.01
Se  0.250  0.250  0.738  -0.01
Se  0.250  0.762  0.738  -0.01
Se  0.762  0.250  0.738  -0.01
Se  0.756  0.756  0.733  -0.01
Se  0.750  0.750  0.262  -0.01
Se  0.750  0.238  0.262  -0.01
Se  0.238  0.750  0.262  -0.01
Se  0.244  0.244  0.267  -0.01

---

13.
Ti2ReGe2: relaxed, PBE.

Computed properties:
Total DFT energy (no corrections) (eV/cell): -79.74
ΔE_f (eV per atom): -0.48

Unit cell a=6.577 b=6.577 c=3.576 alpha=90.00 beta=90.00 gamma=90.00
Fractional coordinates of all 10 atoms:
Re  0.000  0.000  0.000
Re  0.500  0.500  0.000
Ge  0.365  0.865  0.000
Ge  0.865  0.635  0.000
Ge  0.635  0.135  0.000
Ge  0.135  0.365  0.000
Ti  0.168  0.668  0.500
Ti  0.668  0.832  0.500
Ti  0.832  0.332  0.500
Ti  0.332  0.168  0.500

---

14.
SrSe2Cl: relaxed, PBE.

Computed properties:
Total DFT energy (no corrections) (eV/cell): -14.88
Uncorrected formation energy (eV/atom): -1.096
Polymorph energy (0 for the lowest one) (meV per atom): 188

Unit cell a=4.472 b=4.472 c=5.870 alpha=90.00 beta=90.00 gamma=89.93
Each line ends with the local moment (μB).
Fractional coordinates of all 4 atoms:
Cl  0.500  0.500  0.750  0.11
Se  0.000  0.000  0.050  0.25
Se  0.000  0.000  0.450  0.25
Sr  0.500  0.500  0.250  0.00

---

15.
IrPdBr2: relaxed, PBE.

Computed properties:
Total DFT energy (no corrections) (eV/cell): -14.88
Uncorrected formation energy (eV/atom): 0.630
Polymorph energy (0 for the lowest one) (meV per atom): 63

Unit cell a=9.064 b=9.064 c=9.064 alpha=20.51 beta=20.51 gamma=20.51
Fractional coordinates of all 4 atoms:
Ir  0.000  0.000  0.000
Br  0.910  0.910  0.910
Br  0.090  0.090  0.090
Pd  0.500  0.500  0.500

---

16.
K3Rb2TlCl6: relaxed, PBE.

Computed properties:
Total DFT energy (no corrections) (eV/cell): -40.22
Uncorrected formation energy (eV/atom): -1.796

Unit cell a=4.596 b=9.210 c=10.291 alpha=103.10 beta=102.90 gamma=90.00
Fractional coordinates of all 12 atoms:
K  0.500  0.500  0.000
K  0.834  0.167  0.668
K  0.166  0.833  0.332
Rb  0.834  0.670  0.668
Rb  0.166  0.330  0.332
Tl  0.500  0.000  0.000
Cl  0.332  0.926  0.664
Cl  0.664  0.589  0.328
Cl  0.668  0.074  0.336
Cl  0.997  0.253  0.995
Cl  0.003  0.747  0.005
Cl  0.336  0.411  0.672

---

17.
BaSr3Li: relaxed, PBE.

Computed properties:
Total DFT energy (no corrections) (eV/cell): -17.48
ΔE_f (eV per atom): 0.03
Polymorph energy (0 for the lowest one) (meV per atom): 0

Unit cell a=4.360 b=10.265 c=11.712 alpha=102.68 beta=100.65 gamma=90.01
Fractional coordinates of all 10 atoms:
Ba  0.817  0.071  0.892
Ba  0.013  0.154  0.283
Sr  0.619  0.926  0.496
Sr  0.211  0.299  0.680
Sr  0.413  0.415  0.084
Sr  0.233  0.725  0.723
Sr  0.418  0.810  0.091
Sr  0.598  0.500  0.453
Li  0.016  0.677  0.290
Li  0.814  0.548  0.886

---

18.
Tb5Sm5Sc2: relaxed, PBE.

Computed properties:
Total DFT energy (no corrections) (eV/cell): -58.16
ΔE_f (eV per atom): 0.10
Polymorph energy (0 for the lowest one) (meV per atom): 70

Unit cell a=5.604 b=6.530 c=12.127 alpha=107.59 beta=90.00 gamma=115.41
Fractional coordinates of all 12 atoms:
Tb  0.500  0.000  0.500
Tb  0.693  0.386  0.033
Tb  0.570  0.140  0.245
Tb  0.430  0.860  0.755
Tb  0.307  0.614  0.967
Sm  0.181  0.363  0.470
Sm  0.735  0.471  0.771
Sm  0.265  0.529  0.229
Sm  0.819  0.637  0.530
Sm  0.000  0.000  0.000
Sc  0.081  0.163  0.710
Sc  0.919  0.837  0.290

---

19.
CrPtSe2: relaxed, PBE.

Computed properties:
Total DFT energy (no corrections) (eV/cell): -22.45
Uncorrected formation energy (eV/atom): 0.047
Polymorph energy (0 for the lowest one) (meV per atom): 339

Unit cell a=4.506 b=4.507 c=3.334 alpha=90.00 beta=90.00 gamma=90.00
Each line ends with the local moment (μB).
Fractional coordinates of all 4 atoms:
Cr  0.500  0.000  0.500  3.46
Pt  0.000  0.500  0.500  0.00
Se  0.000  0.000  0.000  -0.12
Se  0.500  0.500  0.000  -0.12

---

20.
NaBe2SeO6: relaxed, PBE.

Computed properties:
Total DFT energy (no corrections) (eV/cell): -112.81
Uncorrected formation energy (eV/atom): -1.440

Unit cell a=5.713 b=6.999 c=6.999 alpha=93.55 beta=70.11 gamma=70.11
Each line ends with the local moment (μB).
Fractional coordinates of all 20 atoms:
Na  0.250  0.880  0.120  0.00
Na  0.750  0.120  0.880  0.00
Be  0.427  0.714  0.592  -0.01
Be  0.073  0.408  0.286  -0.01
Be  0.573  0.286  0.408  -0.01
Be  0.927  0.592  0.714  -0.01
Se  0.250  0.193  0.807  0.01
Se  0.750  0.807  0.193  0.01
O  0.219  0.963  0.781  0.01
O  0.281  0.219  0.037  0.01
O  0.781  0.037  0.219  0.01
O  0.719  0.781  0.963  0.01
O  0.460  0.812  0.365  0.00
O  0.040  0.635  0.188  0.00
O  0.540  0.188  0.635  0.00
O  0.960  0.365  0.812  0.00
O  0.199  0.625  0.636  0.40
O  0.301  0.364  0.375  0.40
O  0.801  0.375  0.364  0.40
O  0.699  0.636  0.625  0.40

---

21.
SrCoPd2: relaxed, PBE.

Computed properties:
Total DFT energy (no corrections) (eV/cell): -37.32
ΔE_f (eV per atom): 0.13

Unit cell a=4.959 b=4.959 c=8.887 alpha=73.80 beta=73.80 gamma=90.00
Each line ends with the local moment (μB).
Fractional coordinates of all 8 atoms:
Sr  0.000  0.000  0.000  -0.03
Sr  0.750  0.250  0.500  -0.03
Co  0.500  0.500  0.000  1.89
Co  0.250  0.750  0.500  1.89
Pd  0.445  0.125  0.250  0.23
Pd  0.305  0.625  0.250  0.22
Pd  0.375  0.555  0.750  0.22
Pd  0.875  0.695  0.750  0.21

---

22.
Ba6SnPd2I3: relaxed, PBE.

Computed properties:
Total DFT energy (no corrections) (eV/cell): -42.55
Uncorrected formation energy (eV/atom): -0.998

Unit cell a=4.767 b=10.405 c=11.397 alpha=108.62 beta=102.07 gamma=90.00
Fractional coordinates of all 12 atoms:
Ba  0.338  0.886  0.677
Ba  0.679  0.558  0.358
Ba  0.662  0.114  0.323
Ba  0.013  0.244  0.026
Ba  0.987  0.756  0.974
Ba  0.321  0.442  0.642
Sn  0.500  0.000  0.000
Pd  0.830  0.661  0.661
Pd  0.170  0.339  0.339
I  0.500  0.500  0.000
I  0.835  0.168  0.670
I  0.165  0.832  0.330

---

23.
NiSn2P: relaxed, PBE.

Computed properties:
Total DFT energy (no corrections) (eV/cell): -37.22
ΔE_f (eV per atom): 0.15

Unit cell a=6.018 b=6.018 c=7.066 alpha=64.79 beta=64.79 gamma=90.00
Fractional coordinates of all 8 atoms:
Ni  0.000  0.000  0.000
Ni  0.750  0.250  0.500
Sn  0.645  0.125  0.250
Sn  0.105  0.625  0.250
Sn  0.375  0.355  0.750
Sn  0.875  0.895  0.750
P  0.500  0.500  0.000
P  0.250  0.750  0.500

---

24.
Th2UN3: relaxed, PBE.

Computed properties:
Total DFT energy (no corrections) (eV/cell): -119.74
Uncorrected formation energy (eV/atom): -1.461

Unit cell a=6.204 b=6.210 c=6.198 alpha=80.39 beta=59.97 gamma=70.52
Each line ends with the local moment (μB).
Fractional coordinates of all 12 atoms:
Th  0.000  0.000  0.000  0.02
Th  0.500  0.500  0.000  0.01
Th  0.834  0.500  0.331  0.00
Th  0.166  0.500  0.669  0.00
U  0.333  0.000  0.334  0.85
U  0.667  0.000  0.666  0.85
N  0.573  0.229  0.350  -0.02
N  0.721  0.779  0.000  -0.02
N  0.427  0.771  0.650  -0.02
N  0.077  0.771  0.350  -0.02
N  0.923  0.229  0.650  -0.02
N  0.279  0.221  0.000  -0.02